# 1
First-principles (PBE-GGA) data for TaTi3Zn4 after structural relaxation, as listed in the Alexandria database.

## Properties
The value obtained for the total magnetic moment is 0.8 μB/f.u.

Cell lengths 3.905, 3.999, 8.005 Å; angles 90.00, 90.00, 90.00 degrees
Each line ends with the local moment (μB).
Atoms (fractional coordinates):
Zn 0.000 0.000 0.500  0.00
Zn 0.000 0.500 0.747  0.00
Ti 0.500 0.500 0.500  0.42
Ti 0.500 0.000 0.751  0.14
Zn 0.000 0.500 0.253  0.00
Ti 0.500 0.000 0.249  0.14
Ta 0.500 0.500 0.000  -0.04
Zn 0.000 0.000 0.000  0.01



# 2
First-principles (PBE-GGA) data for YHfMo after structural relaxation, as listed in the Alexandria database.

## Properties
The value obtained for the total magnetic moment is 0.0 μB/f.u.

Cell lengths 3.501, 3.501, 11.135 Å; angles 90.00, 90.00, 90.00 degrees
Atoms (fractional coordinates):
Mo 0.500 0.500 0.666
Hf 0.500 0.500 0.054
Hf 0.000 0.000 0.554
Y 0.500 0.500 0.340
Y 0.000 0.000 0.840
Mo 0.000 0.000 0.166



# 3
First-principles (PBE-GGA) data for BaSc2Zn after structural relaxation, as listed in the Alexandria database.

## Properties
The value obtained for the total magnetic moment is 1.3 μB/f.u.

Cell lengths 5.398, 5.398, 5.398 Å; angles 60.00, 60.00, 60.00 degrees
Each line ends with the local moment (μB).
Atoms (fractional coordinates):
Sc 0.000 0.000 0.000  0.37
Zn 0.750 0.750 0.750  0.00
Ba 0.500 0.500 0.500  0.05
Sc 0.250 0.250 0.250  0.36



Values of formation enthalpy at 0 K, in order: -1.1 0.4 1.2, all in eV per formula unit.
Values of calculated total energy, in order: -5.219 -8.952 -3.669, all in eV per atom.